No. 1
Material: LiFe2Ag
Method: DFT, PBE-GGA
State: optimized geometry

Calculated values
Electronic total energy ... -20.587 eV for the cell shown
Crystal system ... monoclinic
Symmetry ... P2/m (10)

a b c (Å): 2.6094 4.6134 4.5805
angles (deg): 90.00 97.86 90.00
Last column: nearest neighbours and their distance in Å.
Sites, in units of the cell vectors:
Li (0.0000, 0.0000, 0.0000)  2 Ag 2.48, 2 Li 2.61, 4 Fe 2.66
Fe (0.2236, 0.5000, 0.7580)  5 Fe 2.47-2.64, 2 Li 2.66, 2 Ag 2.73
Fe (0.7764, 0.5000, 0.2420)  5 Fe 2.47-2.64, 2 Li 2.66, 2 Ag 2.73
Ag (0.5000, 0.0000, 0.5000)  2 Li 2.48, 2 Ag 2.61, 4 Fe 2.73

No. 2
Material: Li4FeAg2
Method: DFT, PBE-GGA
State: optimized geometry

Calculated values
Electronic total energy ... -18.679 eV for the cell shown
Crystal system ... tetragonal
Symmetry ... I4/mmm (139)

a b c (Å): 7.4751 7.4751 7.4751
angles (deg): 144.36 144.36 51.29
Last column: nearest neighbours and their distance in Å.
Sites, in units of the cell vectors:
Li (0.0000, 0.5000, 0.5000)  2 Fe 2.29
Li (0.1934, 0.1934, 0.0000)  1 Fe 2.61, 1 Ag 2.70
Li (0.5000, 0.0000, 0.5000)  2 Fe 2.29
Li (0.8066, 0.8066, 0.0000)  1 Fe 2.61, 1 Ag 2.70
Fe (0.0000, 0.0000, 0.0000)  4 Li 2.29
Ag (0.3936, 0.3936, 0.0000)  5 Li 2.70, 1 Ag 2.87
Ag (0.6064, 0.6064, 0.0000)  5 Li 2.70, 1 Ag 2.87

No. 3
Material: LiFeAg2
Method: DFT, PBE-GGA
State: optimized geometry

Calculated values
Electronic total energy ... -14.989 eV for the cell shown
Crystal system ... cubic
Symmetry ... F-43m (216)

a b c (Å): 4.4648 4.4648 4.4648
angles (deg): 60.00 60.00 60.00
Last column: nearest neighbours and their distance in Å.
Sites, in units of the cell vectors:
Li (0.0000, 0.0000, 0.0000)  4 Fe 2.73, 4 Ag 2.73
Fe (0.7500, 0.7500, 0.7500)  4 Li 2.73, 4 Ag 2.73
Ag (0.2500, 0.2500, 0.2500)  4 Li 2.73, 4 Ag 2.73
Ag (0.5000, 0.5000, 0.5000)  4 Fe 2.73, 4 Ag 2.73

No. 4
Material: Li2FeAg
Method: DFT, PBE-GGA
State: optimized geometry

Calculated values
Electronic total energy ... -14.339 eV for the cell shown
Crystal system ... orthorhombic
Symmetry ... Cmm2 (35)

a b c (Å): 2.6831 2.6831 9.2917
angles (deg): 90.00 90.00 110.32
Last column: nearest neighbours and their distance in Å.
Sites, in units of the cell vectors:
Li (0.0000, 0.0000, 0.0000)  2 Fe 2.65, 4 Li 2.68
Li (0.5000, 0.5000, 0.2768)  6 Li 2.68-2.99, 2 Ag 2.74
Fe (0.5000, 0.5000, 0.7678)  2 Li 2.65, 4 Fe 2.68, 2 Ag 2.76
Ag (0.0000, 0.0000, 0.5207)  4 Ag 2.68, 2 Li 2.74, 2 Fe 2.76

No. 5
Material: Li2FeAg
Method: DFT, PBE-GGA
State: optimized geometry

Calculated values
Electronic total energy ... -14.153 eV for the cell shown
Crystal system ... tetragonal
Symmetry ... I4/mmm (139)

a b c (Å): 4.9855 4.9855 4.9855
angles (deg): 135.35 135.35 64.98
Last column: nearest neighbours and their distance in Å.
Sites, in units of the cell vectors:
Li (0.2500, 0.7500, 0.5000)  4 Li 2.68, 4 Fe 2.83, 4 Ag 2.83
Li (0.7500, 0.2500, 0.5000)  4 Li 2.68, 4 Fe 2.83, 4 Ag 2.83
Fe (0.0000, 0.0000, 0.0000)  4 Ag 2.68, 8 Li 2.83
Ag (0.5000, 0.5000, 0.0000)  4 Fe 2.68, 8 Li 2.83

No. 6
Material: LiFeAg2
Method: DFT, PBE-GGA
State: optimized geometry

Calculated values
Electronic total energy ... -15.516 eV for the cell shown
Crystal system ... orthorhombic
Symmetry ... Cmmm (65)

a b c (Å): 4.7567 4.7567 2.7775
angles (deg): 90.00 90.00 99.58
Last column: nearest neighbours and their distance in Å.
Sites, in units of the cell vectors:
Li (0.0000, 0.0000, 0.0000)  8 Ag 2.75, 2 Li 2.78, 2 Fe 3.07
Fe (0.5000, 0.5000, 0.0000)  8 Ag 2.75, 2 Fe 2.78, 2 Li 3.07
Ag (0.0000, 0.5000, 0.5000)  4 Fe 2.75, 4 Li 2.75, 4 Ag 2.78-3.07
Ag (0.5000, 0.0000, 0.5000)  4 Fe 2.75, 4 Li 2.75, 4 Ag 2.78-3.07

No. 7
Material: LiFeAg2
Method: DFT, PBE-GGA
State: optimized geometry

Calculated values
Electronic total energy ... -15.231 eV for the cell shown
Crystal system ... orthorhombic
Symmetry ... Cmm2 (35)

a b c (Å): 2.7235 2.7235 9.3046
angles (deg): 90.00 90.00 112.90
Last column: nearest neighbours and their distance in Å.
Sites, in units of the cell vectors:
Li (0.0000, 0.0000, 0.0000)  2 Fe 2.66, 4 Li 2.72, 2 Ag 2.74
Fe (0.5000, 0.5000, 0.7648)  2 Li 2.66, 4 Fe 2.72, 2 Ag 2.73
Ag (0.0000, 0.0000, 0.5194)  8 Ag 2.72-3.01, 2 Fe 2.73
Ag (0.5000, 0.5000, 0.2458)  8 Ag 2.72-3.01, 2 Li 2.74

No. 8
Material: LiFe2Ag
Method: DFT, PBE-GGA
State: optimized geometry

Calculated values
Electronic total energy ... -20.120 eV for the cell shown
Crystal system ... orthorhombic
Symmetry ... Cmmm (65)

a b c (Å): 2.5999 2.5999 9.3154
angles (deg): 90.00 90.00 114.43
Last column: nearest neighbours and their distance in Å.
Sites, in units of the cell vectors:
Li (0.0000, 0.0000, 0.0000)  6 Li 2.60-2.82, 4 Fe 2.67
Fe (0.5000, 0.5000, 0.2436)  6 Fe 2.60-2.82, 2 Li 2.67, 2 Ag 2.77
Fe (0.5000, 0.5000, 0.7564)  6 Fe 2.60-2.82, 2 Li 2.67, 2 Ag 2.77
Ag (0.0000, 0.0000, 0.5000)  6 Ag 2.60-2.82, 4 Fe 2.77

No. 9
Material: LiFe2Ag
Method: DFT, PBE-GGA
State: optimized geometry

Calculated values
Electronic total energy ... -20.326 eV for the cell shown
Crystal system ... orthorhombic
Symmetry ... Pmmm (47)

a b c (Å): 2.6131 4.2570 5.0030
angles (deg): 90.00 90.00 90.00
Last column: nearest neighbours and their distance in Å.
Sites, in units of the cell vectors:
Li (0.0000, 0.0000, 0.0000)  2 Ag 2.50, 2 Li 2.61, 8 Fe 2.77
Fe (0.5000, 0.5000, 0.2407)  4 Fe 2.41-2.61
Fe (0.5000, 0.5000, 0.7593)  4 Fe 2.41-2.61
Ag (0.0000, 0.0000, 0.5000)  2 Li 2.50, 2 Ag 2.61

No. 10
Material: Li2FeAg2
Method: DFT, PBE-GGA
State: optimized geometry

Calculated values
Electronic total energy ... -34.101 eV for the cell shown
Crystal system ... tetragonal
Symmetry ... P4/mbm (127)
Relative energy among the computed polymorphs ... 0.000 eV/atom

a b c (Å): 7.3476 7.3476 2.7912
angles (deg): 90.00 90.00 90.00
Last column: nearest neighbours and their distance in Å.
Sites, in units of the cell vectors:
Li (0.1232, 0.3768, 0.0000)  6 Ag 2.50-2.65, 3 Li 2.56-2.79
Li (0.3768, 0.8768, 0.0000)  6 Ag 2.50-2.65, 3 Li 2.56-2.79
Li (0.6232, 0.1232, 0.0000)  6 Ag 2.50-2.65, 3 Li 2.56-2.79
Li (0.8768, 0.6232, 0.0000)  6 Ag 2.50-2.65, 3 Li 2.56-2.79
Fe (0.0000, 0.0000, 0.0000)  2 Fe 2.79, 4 Li 2.91, 8 Ag 3.04
Fe (0.5000, 0.5000, 0.0000)  2 Fe 2.79, 4 Li 2.91, 8 Ag 3.04
Ag (0.1778, 0.6778, 0.5000)  6 Li 2.50-2.65, 2 Ag 2.79
Ag (0.3222, 0.1778, 0.5000)  6 Li 2.50-2.65, 2 Ag 2.79
Ag (0.6778, 0.8222, 0.5000)  6 Li 2.50-2.65, 2 Ag 2.79
Ag (0.8222, 0.3222, 0.5000)  6 Li 2.50-2.65, 2 Ag 2.79

No. 11
Material: Li2FeAg
Method: DFT, PBE-GGA
State: optimized geometry

Calculated values
Electronic total energy ... -14.379 eV for the cell shown
Crystal system ... monoclinic
Symmetry ... P2/m (10)

a b c (Å): 2.6594 4.5347 4.9663
angles (deg): 90.00 95.20 90.00
Last column: nearest neighbours and their distance in Å.
Sites, in units of the cell vectors:
Li (0.2425, 0.0000, 0.2432)  5 Li 2.63-2.88, 2 Fe 2.69, 2 Ag 2.71
Li (0.7575, 0.0000, 0.7568)  5 Li 2.63-2.88, 2 Fe 2.69, 2 Ag 2.71
Fe (0.5000, 0.5000, 0.0000)  2 Fe 2.66, 4 Li 2.69, 4 Ag 2.71-2.92
Ag (0.0000, 0.5000, 0.5000)  2 Ag 2.66, 4 Li 2.71, 4 Fe 2.71-2.92

No. 12
Material: Li4FeAg
Method: DFT, PBE-GGA
State: optimized geometry

Calculated values
Electronic total energy ... -17.227 eV for the cell shown
Crystal system ... cubic
Symmetry ... F-43m (216)

a b c (Å): 4.9923 4.9923 4.9923
angles (deg): 60.00 60.00 60.00
Last column: nearest neighbours and their distance in Å.
Sites, in units of the cell vectors:
Li (0.1252, 0.1252, 0.1252)  6 Li 2.49-2.50
Li (0.1252, 0.1252, 0.6244)  6 Li 2.49-2.50
Li (0.1252, 0.6244, 0.1252)  6 Li 2.49-2.50
Li (0.6244, 0.1252, 0.1252)  6 Li 2.49-2.50
Fe (0.5000, 0.5000, 0.5000)  12 Li 2.93, 4 Ag 3.06
Ag (0.7500, 0.7500, 0.7500)  12 Li 2.93, 4 Fe 3.06

Calculated calculated density (g cm⁻³), listed in the same order as above: 6.886; 3.524; 7.349; 4.701; 4.889; 7.463; 7.275; 6.561; 6.758; 6.291; 4.944; 3.614
Calculated energy of formation from the pure elements (eV per atom), listed in the same order as above: 0.276; 0.449; 0.272; 0.201; 0.247; 0.141; 0.212; 0.393; 0.341; 0.189; 0.191; 0.290